1.
VASP calculation (PBE) on a geometry-optimized Fe3Si2Ni3 structure.

a = 3.4296 Å, b = 3.6335 Å, c = 7.1109 Å
α = 90.00°, β = 90.00°, γ = 90.00°
Closest atoms and distances in Å follow each position.
Fractional positions:
1 Fe 0.0000 0.0000 0.0000  4 Fe 2.45, 4 Ni 2.50, 4 Si 2.56
2 Fe 0.5000 0.0000 0.2460  2 Fe 2.45, 6 Ni 2.49-2.56, 4 Si 2.50
3 Fe 0.5000 0.0000 0.7540  2 Fe 2.45, 6 Ni 2.49-2.56, 4 Si 2.50
4 Si 0.0000 0.5000 0.2532  6 Ni 2.45-2.53, 6 Fe 2.50-2.56
5 Si 0.0000 0.5000 0.7468  6 Ni 2.45-2.53, 6 Fe 2.50-2.56
6 Ni 0.0000 0.0000 0.5000  4 Fe 2.49, 4 Ni 2.50, 4 Si 2.53
7 Ni 0.5000 0.5000 0.0000  4 Si 2.49, 8 Fe 2.50-2.52
8 Ni 0.5000 0.5000 0.5000  4 Si 2.45, 4 Ni 2.50, 4 Fe 2.56

Calculated values
Uncorrected formation energy in eV per atom: -0.32
Space group: Pmmm

=====

2.
VASP calculation (PBE) on a geometry-optimized FeSi2Ni structure.

a = 4.0567 Å, b = 4.0567 Å, c = 4.0567 Å
α = 60.00°, β = 60.00°, γ = 60.00°
Closest atoms and distances in Å follow each position.
Fractional positions:
1 Fe 0.0000 0.0000 0.0000  4 Si 2.48, 4 Ni 2.48
2 Si 0.5000 0.5000 0.5000  4 Si 2.48, 4 Ni 2.48
3 Si 0.7500 0.7500 0.7500  4 Fe 2.48, 4 Si 2.48
4 Ni 0.2500 0.2500 0.2500  4 Fe 2.48, 4 Si 2.48

Calculated values
Uncorrected formation energy in eV per atom: 0.09
Space group: F-43m

=====

3.
VASP calculation (PBE) on a geometry-optimized FeSi2Ni structure.

a = 3.9239 Å, b = 3.9239 Å, c = 2.8640 Å
α = 90.00°, β = 90.00°, γ = 90.00°
Closest atoms and distances in Å follow each position.
Fractional positions:
1 Fe 0.0000 0.0000 0.0000  8 Si 2.43
2 Si 0.0000 0.5000 0.5000  4 Fe 2.43, 4 Ni 2.43
3 Si 0.5000 0.0000 0.5000  4 Fe 2.43, 4 Ni 2.43
4 Ni 0.5000 0.5000 0.0000  8 Si 2.43

Calculated values
Uncorrected formation energy in eV per atom: -0.34
Space group: P4/mmm

=====

4.
VASP calculation (PBE) on a geometry-optimized FeSi2Ni structure.

a = 7.6174 Å, b = 7.6174 Å, c = 7.6174 Å
α = 20.66°, β = 20.66°, γ = 20.66°
Closest atoms and distances in Å follow each position.
Fractional positions:
1 Fe 0.0000 0.0000 0.0000  3 Si 2.30, 3 Ni 2.57
2 Si 0.2586 0.2586 0.2586  3 Fe 2.30
3 Si 0.4990 0.4990 0.4990  3 Ni 2.30
4 Ni 0.7575 0.7575 0.7575  3 Si 2.30, 3 Fe 2.57

Calculated values
Uncorrected formation energy in eV per atom: 0.02
Space group: R3m

=====

5.
VASP calculation (PBE) on a geometry-optimized FeSiNi structure.

a = 5.4220 Å, b = 3.6405 Å, c = 6.8763 Å
α = 90.00°, β = 90.00°, γ = 90.00°
Closest atoms and distances in Å follow each position.
Fractional positions:
1 Fe 0.0353 0.2500 0.1845  5 Si 2.38-2.56, 3 Ni 2.64
2 Fe 0.4647 0.7500 0.6845  5 Si 2.38-2.56, 3 Ni 2.64
3 Fe 0.5353 0.2500 0.3155  5 Si 2.38-2.56, 3 Ni 2.64
4 Fe 0.9647 0.7500 0.8155  5 Si 2.38-2.56, 3 Ni 2.64
5 Si 0.2380 0.2500 0.8771  4 Ni 2.25-2.29, 3 Fe 2.38-2.39
6 Si 0.2620 0.7500 0.3771  4 Ni 2.25-2.29, 3 Fe 2.38-2.39
7 Si 0.7380 0.2500 0.6229  4 Ni 2.25-2.29, 3 Fe 2.38-2.39
8 Si 0.7620 0.7500 0.1229  4 Ni 2.25-2.29, 3 Fe 2.38-2.39
9 Ni 0.1505 0.2500 0.5579  4 Si 2.25-2.29
10 Ni 0.3495 0.7500 0.0579  4 Si 2.25-2.29
11 Ni 0.6505 0.2500 0.9421  4 Si 2.25-2.29
12 Ni 0.8495 0.7500 0.4421  4 Si 2.25-2.29

Calculated values
Uncorrected formation energy in eV per atom: -0.42
Space group: Pnma

=====

6.
VASP calculation (PBE) on a geometry-optimized FeSi2Ni structure.

a = 4.0057 Å, b = 4.0057 Å, c = 4.6172 Å
α = 101.31°, β = 101.31°, γ = 39.06°
Closest atoms and distances in Å follow each position.
Fractional positions:
1 Fe 0.0000 0.0000 0.0000  6 Si 2.37-2.39
2 Si 0.2533 0.2533 0.7638  3 Fe 2.37-2.39, 3 Ni 2.43-2.44, 2 Si 2.57
3 Si 0.7467 0.7467 0.2362  3 Fe 2.37-2.39, 3 Ni 2.43-2.44, 2 Si 2.57
4 Ni 0.5000 0.5000 0.5000  6 Si 2.43-2.44, 4 Fe 2.67, 2 Ni 2.68

Calculated values
Uncorrected formation energy in eV per atom: -0.30
Space group: C2/m

=====

7.
VASP calculation (PBE) on a geometry-optimized FeSi2Ni structure.

a = 4.5425 Å, b = 4.5425 Å, c = 4.5425 Å
α = 136.26°, β = 136.26°, γ = 63.58°
Closest atoms and distances in Å follow each position.
Fractional positions:
1 Fe 0.0000 0.0000 0.0000  8 Si 2.39-2.57, 4 Ni 2.57
2 Si 0.5000 0.5000 0.0000  4 Fe 2.39, 4 Ni 2.57, 4 Si 2.57
3 Si 0.7500 0.2500 0.5000  4 Ni 2.39, 4 Si 2.57, 4 Fe 2.57
4 Ni 0.2500 0.7500 0.5000  8 Si 2.39-2.57, 4 Fe 2.57

Calculated values
Uncorrected formation energy in eV per atom: -0.32
Space group: I-4m2

=====

8.
VASP calculation (PBE) on a geometry-optimized Fe2SiNi8 structure.

a = 6.4662 Å, b = 6.4662 Å, c = 4.1437 Å
α = 102.98°, β = 102.98°, γ = 122.58°
Closest atoms and distances in Å follow each position.
Fractional positions:
1 Fe 0.1987 0.8013 0.0000  8 Ni 2.32-2.52
2 Fe 0.8013 0.1987 0.0000  8 Ni 2.32-2.52
3 Si 0.5000 0.5000 0.5000  4 Ni 2.18-2.28
4 Ni 0.1078 0.1078 0.3063  1 Si 2.18, 3 Ni 2.25-2.38
5 Ni 0.1724 0.3927 0.8579  2 Fe 2.32-2.48, 5 Ni 2.38-2.57
6 Ni 0.2991 0.7009 0.5000  1 Si 2.28, 2 Fe 2.36
7 Ni 0.3927 0.1724 0.8579  2 Fe 2.32-2.48, 5 Ni 2.38-2.57
8 Ni 0.6073 0.8276 0.1421  2 Fe 2.32-2.48, 5 Ni 2.38-2.57
9 Ni 0.7009 0.2991 0.5000  1 Si 2.28, 2 Fe 2.36
10 Ni 0.8276 0.6073 0.1421  2 Fe 2.32-2.48, 5 Ni 2.38-2.57
11 Ni 0.8922 0.8922 0.6937  1 Si 2.18, 3 Ni 2.25-2.38

Calculated values
Uncorrected formation energy in eV per atom: 0.05
Space group: C2/m
Offset from the most stable computed form in meV/atom: 222

=====

9.
VASP calculation (PBE) on a geometry-optimized FeSiNi structure.

a = 3.8166 Å, b = 3.8166 Å, c = 3.8166 Å
α = 60.00°, β = 60.00°, γ = 60.00°
Closest atoms and distances in Å follow each position.
Fractional positions:
1 Fe 0.0000 0.0000 0.0000  4 Ni 2.34, 4 Si 2.34
2 Si 0.7500 0.7500 0.7500  4 Fe 2.34
3 Ni 0.2500 0.2500 0.2500  4 Fe 2.34

Calculated values
Uncorrected formation energy in eV per atom: 0.01
Space group: F-43m

=====

10.
VASP calculation (PBE) on a geometry-optimized FeSiNi structure.

a = 3.9034 Å, b = 3.9034 Å, c = 2.6068 Å
α = 90.00°, β = 90.00°, γ = 120.00°
Closest atoms and distances in Å follow each position.
Fractional positions:
1 Fe 0.0000 0.0000 0.0000  6 Si 2.57-2.64, 6 Ni 2.59-2.62, 2 Fe 2.61
2 Si 0.6667 0.3333 0.5271  3 Ni 2.26
3 Ni 0.3333 0.6667 0.4868  3 Si 2.26

Calculated values
Uncorrected formation energy in eV per atom: -0.29
Space group: P3m1

=====

11.
VASP calculation (PBE) on a geometry-optimized FeSi2Ni structure.

a = 5.1374 Å, b = 5.1374 Å, c = 5.1374 Å
α = 104.99°, β = 104.99°, γ = 118.86°
Closest atoms and distances in Å follow each position.
Fractional positions:
1 Fe 0.0000 0.0000 0.0000  4 Si 2.33, 2 Ni 2.61
2 Fe 0.7500 0.2500 0.5000  4 Si 2.33, 2 Ni 2.61
3 Si 0.1318 0.1250 0.5068  2 Ni 2.28, 2 Fe 2.33
4 Si 0.3750 0.8682 0.9932  2 Ni 2.28, 2 Fe 2.33
5 Si 0.6182 0.6250 0.4932  2 Ni 2.28, 2 Fe 2.33
6 Si 0.8750 0.3818 0.0068  2 Ni 2.28, 2 Fe 2.33
7 Ni 0.2500 0.7500 0.5000  4 Si 2.28
8 Ni 0.5000 0.5000 0.0000  4 Si 2.28

Calculated values
Uncorrected formation energy in eV per atom: 0.20
Space group: I-42d

=====

12.
VASP calculation (PBE) on a geometry-optimized FeSi4Ni structure.

a = 4.8173 Å, b = 4.8173 Å, c = 4.8173 Å
α = 60.00°, β = 60.00°, γ = 60.00°
Closest atoms and distances in Å follow each position.
Fractional positions:
1 Fe 0.0000 0.0000 0.0000  12 Si 2.82, 4 Ni 2.95
2 Si 0.1248 0.6251 0.6251  6 Si 2.41
3 Si 0.6251 0.1248 0.6251  6 Si 2.41
4 Si 0.6251 0.6251 0.1248  6 Si 2.41
5 Si 0.6251 0.6251 0.6251  6 Si 2.41
6 Ni 0.2500 0.2500 0.2500  12 Si 2.82, 4 Fe 2.95

Calculated values
Uncorrected formation energy in eV per atom: 0.47
Space group: F-43m

=====

13.
VASP calculation (PBE) on a geometry-optimized FeSi2Ni structure.

a = 3.1039 Å, b = 3.1039 Å, c = 4.8121 Å
α = 90.00°, β = 90.00°, γ = 90.00°
Closest atoms and distances in Å follow each position.
Fractional positions:
1 Fe 0.0000 0.0000 0.0000  6 Si 2.36-2.45
2 Si 0.0000 0.0000 0.5100  2 Fe 2.36-2.45, 4 Ni 2.37
3 Si 0.5000 0.5000 0.8188  4 Fe 2.36, 2 Ni 2.38-2.44
4 Ni 0.5000 0.5000 0.3249  6 Si 2.37-2.44

Calculated values
Uncorrected formation energy in eV per atom: -0.39
Space group: P4mm

=====

no.,total magnetic moment (μB per atom)
1,0.793
2,0.428
3,0.253
4,0.249
5,0.558
6,0.184
7,0.045
8,0.830
9,0.639
10,0.781
11,0.313
12,0.380
13,0.269